Arrangement i

This record from the Alexandria database describes an optimized crystal structure of La2Nd3Tl4. The functional is PBE-GGA.

The space group is Cmce (64). The density of states at the Fermi level is 0.83 states/eV/atom. For the volume, the calculation gives 298.1 Å³/f.u.

Cell: 7.459 9.565 9.151 Å, 90.00 114.05 90.00°
Sites, in units of the cell vectors:
1 Tl 0.812 0.034 0.624
2 Tl 0.312 0.466 0.624
3 Tl 0.688 0.534 0.376
4 Tl 0.722 0.750 0.944
5 Tl 0.278 0.250 0.056
6 Tl 0.778 0.250 0.056
7 Tl 0.222 0.750 0.944
8 Tl 0.188 0.966 0.376
9 Nd 0.968 0.250 0.437
10 Nd 0.500 0.500 0.000
11 Nd 0.032 0.750 0.563
12 Nd 0.000 0.000 0.000
13 Nd 0.532 0.750 0.563
14 Nd 0.468 0.250 0.437
15 La 0.608 0.930 0.216
16 La 0.892 0.430 0.784
17 La 0.108 0.570 0.216
18 La 0.392 0.070 0.784

Arrangement ii

This record from the Alexandria database describes an optimized crystal structure of La2Nd3Tl4. The functional is PBE-GGA.

The space group is P-3m1 (164). The density of states at the Fermi level is 1.30 states/eV/atom. For the volume, the calculation gives 283.7 Å³/f.u.

Cell: 5.496 5.495 10.846 Å, 90.03 90.00 59.99°
Sites, in units of the cell vectors:
1 La 0.667 0.666 0.218
2 La 0.333 0.334 0.782
3 Nd 0.666 0.667 0.577
4 Nd 0.334 0.333 0.423
5 Nd 0.000 0.000 0.000
6 Tl 0.000 0.000 0.649
7 Tl 0.333 0.333 0.102
8 Tl 0.000 0.000 0.351
9 Tl 0.667 0.667 0.898

The structure with the greatest stability is arrangement ii.

Arrangement i

This record from the Alexandria database describes an optimized crystal structure of LaNd3Tl2. The functional is PBE-GGA.

The space group is Pmc2_1 (26). The density of states at the Fermi level is 1.31 states/eV/atom. For the volume, the calculation gives 192.2 Å³/f.u.

Cell: 5.295 6.940 10.458 Å, 90.00 90.00 90.00°
Sites, in units of the cell vectors:
1 Nd 0.500 0.177 0.816
2 Nd 0.000 0.820 0.688
3 Nd 0.000 0.447 0.955
4 Nd 0.000 0.320 0.312
5 Nd 0.000 0.947 0.045
6 Nd 0.500 0.677 0.184
7 La 0.500 0.559 0.546
8 La 0.500 0.059 0.454
9 Tl 0.500 0.206 0.132
10 Tl 0.000 0.291 0.636
11 Tl 0.500 0.706 0.868
12 Tl 0.000 0.791 0.364

Arrangement ii

This record from the Alexandria database describes an optimized crystal structure of LaNd3Tl2. The functional is PBE-GGA.

The space group is C2/m (12). The density of states at the Fermi level is 1.14 states/eV/atom. For the volume, the calculation gives 196.3 Å³/f.u.

Cell: 5.534 9.581 9.526 Å, 124.00 90.00 106.79°
Sites, in units of the cell vectors:
1 Nd 0.696 0.391 0.391
2 Nd 0.940 0.880 0.594
3 Nd 0.304 0.609 0.609
4 Nd 0.381 0.763 0.307
5 Nd 0.619 0.237 0.693
6 Nd 0.060 0.120 0.406
7 La 0.129 0.259 0.084
8 La 0.871 0.741 0.916
9 Tl 0.484 0.969 0.138
10 Tl 0.774 0.547 0.141
11 Tl 0.516 0.031 0.862
12 Tl 0.226 0.453 0.859

The structure with the greatest stability is arrangement i.

Arrangement i

This record from the Alexandria database describes an optimized crystal structure of La8NdTl2. The functional is PBE-GGA.

The space group is C2/m (12). The density of states at the Fermi level is 1.55 states/eV/atom. For the volume, the calculation gives 382.4 Å³/f.u.

Cell: 6.324 10.243 10.243 Å, 39.74 65.97 65.97°
Sites, in units of the cell vectors:
1 La 0.237 0.559 0.091
2 La 0.320 0.127 0.127
3 La 0.763 0.909 0.441
4 La 0.237 0.091 0.559
5 La 0.680 0.873 0.873
6 La 0.763 0.441 0.909
7 La 0.266 0.497 0.497
8 La 0.734 0.503 0.503
9 Tl 0.752 0.323 0.323
10 Tl 0.248 0.677 0.677
11 Nd 0.000 0.000 0.000

Arrangement ii

This record from the Alexandria database describes an optimized crystal structure of La8NdTl2. The functional is PBE-GGA.

The space group is Immm (71). The density of states at the Fermi level is 1.48 states/eV/atom. For the volume, the calculation gives 387.6 Å³/f.u.

Cell: 5.291 9.106 9.615 Å, 118.26 105.97 90.00°
Sites, in units of the cell vectors:
1 La 0.852 0.852 0.705
2 La 0.148 0.148 0.295
3 La 0.000 0.325 0.000
4 La 0.339 0.120 0.679
5 La 0.339 0.559 0.679
6 La 0.661 0.441 0.321
7 La 0.000 0.675 0.000
8 La 0.661 0.880 0.321
9 Tl 0.195 0.695 0.389
10 Tl 0.805 0.305 0.611
11 Nd 0.500 0.000 0.000

The structure with the greatest stability is arrangement ii.

Arrangement i

This record from the Alexandria database describes an optimized crystal structure of LaNd3Tl4. The functional is PBE-GGA.

The space group is Pmma (51). The density of states at the Fermi level is 0.81 states/eV/atom. For the volume, the calculation gives 242.3 Å³/f.u.

Cell: 5.574 7.799 11.147 Å, 90.00 90.00 90.00°
Sites, in units of the cell vectors:
1 Tl 0.995 0.246 0.250
2 Tl 0.005 0.246 0.750
3 Tl 0.500 0.246 0.000
4 Tl 0.005 0.754 0.750
5 Tl 0.500 0.754 0.500
6 Tl 0.500 0.246 0.500
7 Tl 0.995 0.754 0.250
8 Tl 0.500 0.754 0.000
9 Nd 0.496 0.000 0.250
10 Nd 0.504 0.500 0.750
11 Nd 0.000 0.000 0.500
12 Nd 0.504 0.000 0.750
13 Nd 0.496 0.500 0.250
14 Nd 0.000 0.000 0.000
15 La 0.000 0.500 0.000
16 La 0.000 0.500 0.500

Arrangement ii

This record from the Alexandria database describes an optimized crystal structure of LaNd3Tl4. The functional is PBE-GGA.

The space group is Immm (71). The density of states at the Fermi level is 0.91 states/eV/atom. For the volume, the calculation gives 261.4 Å³/f.u.

Cell: 3.728 7.483 10.262 Å, 111.39 100.46 90.00°
Sites, in units of the cell vectors:
1 Nd 0.787 0.787 0.573
2 Nd 0.213 0.213 0.427
3 Nd 0.000 0.500 0.000
4 Tl 0.629 0.836 0.258
5 Tl 0.371 0.577 0.742
6 Tl 0.629 0.423 0.258
7 Tl 0.371 0.164 0.742
8 La 0.500 0.000 0.000

The structure with the greatest stability is arrangement i.

Arrangement i

This record from the Alexandria database describes an optimized crystal structure of LaNd4Tl2. The functional is PBE-GGA.

The space group is P1 (1). The density of states at the Fermi level is 1.11 states/eV/atom. For the volume, the calculation gives 231.0 Å³/f.u.

Cell: 6.842 10.466 14.760 Å, 155.25 140.18 57.16°
Sites, in units of the cell vectors:
1 Nd 0.614 0.816 0.876
2 Nd 0.932 0.496 0.998
3 Nd 0.343 0.084 0.742
4 Nd 0.507 0.923 0.257
5 Tl 0.105 0.325 0.559
6 Tl 0.763 0.665 0.437
7 La 0.236 0.191 0.130

Arrangement ii

This record from the Alexandria database describes an optimized crystal structure of LaNd4Tl2. The functional is PBE-GGA.

The space group is P2_1/m (11). The density of states at the Fermi level is 1.39 states/eV/atom. For the volume, the calculation gives 230.1 Å³/f.u.

Cell: 8.377 6.765 9.231 Å, 90.00 118.38 90.00°
Sites, in units of the cell vectors:
1 Nd 0.038 0.250 0.503
2 Nd 0.435 0.995 0.775
3 Nd 0.435 0.505 0.775
4 Nd 0.962 0.750 0.497
5 Nd 0.565 0.005 0.225
6 Nd 0.089 0.750 0.909
7 Nd 0.565 0.495 0.225
8 Nd 0.911 0.250 0.091
9 Tl 0.202 0.250 0.936
10 Tl 0.661 0.750 0.610
11 Tl 0.798 0.750 0.064
12 Tl 0.339 0.250 0.390
13 La 0.763 0.250 0.659
14 La 0.237 0.750 0.341

The structure with the greatest stability is arrangement i.

Arrangement i

This record from the Alexandria database describes an optimized crystal structure of La3Nd4Tm2. The functional is PBE-GGA.

The space group is C2/c (15). The density of states at the Fermi level is 1.43 states/eV/atom. For the volume, the calculation gives 311.2 Å³/f.u.

Cell: 6.538 10.029 10.029 Å, 72.19 94.93 94.93°
Sites, in units of the cell vectors:
1 Tm 0.078 0.528 0.814
2 Tm 0.422 0.186 0.472
3 Tm 0.922 0.472 0.186
4 Tm 0.578 0.814 0.528
5 La 0.526 0.687 0.194
6 La 0.250 0.538 0.462
7 La 0.026 0.194 0.687
8 La 0.974 0.806 0.313
9 La 0.750 0.462 0.538
10 La 0.474 0.313 0.806
11 Nd 0.892 0.124 0.366
12 Nd 0.392 0.366 0.124
13 Nd 0.587 0.980 0.813
14 Nd 0.913 0.187 0.020
15 Nd 0.087 0.813 0.980
16 Nd 0.608 0.634 0.876
17 Nd 0.108 0.876 0.634
18 Nd 0.413 0.020 0.187

Arrangement ii

This record from the Alexandria database describes an optimized crystal structure of La3Nd4Tm2. The functional is PBE-GGA.

The space group is C2/m (12). The density of states at the Fermi level is 1.49 states/eV/atom. For the volume, the calculation gives 313.7 Å³/f.u.

Cell: 5.871 10.341 13.389 Å, 151.38 90.00 106.49°
Sites, in units of the cell vectors:
1 Nd 0.281 0.562 0.602
2 Nd 0.719 0.438 0.398
3 Nd 0.855 0.710 0.082
4 Nd 0.145 0.290 0.918
5 La 0.565 0.131 0.446
6 La 0.000 0.000 0.000
7 La 0.435 0.869 0.554
8 Tm 0.255 0.509 0.816
9 Tm 0.745 0.491 0.184

The structure with the greatest stability is arrangement ii.

Arrangement i

This record from the Alexandria database describes an optimized crystal structure of LaNdTm2. The functional is PBE-GGA.

The space group is I-42d (122). The density of states at the Fermi level is 1.68 states/eV/atom. For the volume, the calculation gives 133.7 Å³/f.u.

Cell: 7.145 7.145 7.145 Å, 123.82 102.81 102.81°
Sites, in units of the cell vectors:
1 Tm 0.999 0.624 0.125
2 Tm 0.499 0.875 0.874
3 Tm 0.501 0.375 0.376
4 Tm 0.001 0.126 0.625
5 Nd 0.500 0.250 0.750
6 Nd 0.000 0.500 0.500
7 La 0.000 0.000 0.000
8 La 0.500 0.750 0.250

Arrangement ii

This record from the Alexandria database describes an optimized crystal structure of LaNdTm2. The functional is PBE-GGA.

The space group is R-3m (166). The density of states at the Fermi level is 1.12 states/eV/atom. For the volume, the calculation gives 131.1 Å³/f.u.

Cell: 3.613 3.613 11.783 Å, 81.18 81.18 60.00°
Sites, in units of the cell vectors:
1 La 0.000 0.000 0.000
2 Nd 0.500 0.500 0.500
3 Tm 0.249 0.249 0.252
4 Tm 0.751 0.751 0.748

The structure with the greatest stability is arrangement ii.

Arrangement i

This record from the Alexandria database describes an optimized crystal structure of LaNdTm2. The functional is PBE-GGA.

The space group is P4/mmm (123). The density of states at the Fermi level is 1.55 states/eV/atom. For the volume, the calculation gives 132.1 Å³/f.u.

Cell: 3.665 3.665 9.834 Å, 90.00 90.00 90.00°
Sites, in units of the cell vectors:
1 Nd 0.500 0.500 0.000
2 Tm 0.000 0.000 0.752
3 Tm 0.000 0.000 0.248
4 La 0.500 0.500 0.500

Arrangement ii

This record from the Alexandria database describes an optimized crystal structure of LaNdTm2. The functional is PBE-GGA.

The space group is P2/m (10). The density of states at the Fermi level is 1.65 states/eV/atom. For the volume, the calculation gives 149.4 Å³/f.u.

Cell: 5.561 6.135 10.011 Å, 118.97 90.00 90.00°
Sites, in units of the cell vectors:
1 Tm 0.000 0.160 0.398
2 Tm 0.500 0.790 0.127
3 Tm 0.500 0.210 0.873
4 Tm 0.000 0.840 0.602
5 Nd 0.500 0.609 0.711
6 Nd 0.500 0.391 0.289
7 La 0.500 0.000 0.500
8 La 0.000 0.000 0.000

Arrangement iii

This record from the Alexandria database describes an optimized crystal structure of LaNdTm2. The functional is PBE-GGA.

The space group is Fm-3m (225). The density of states at the Fermi level is 1.71 states/eV/atom. For the volume, the calculation gives 133.8 Å³/f.u.

Cell: 5.740 5.740 5.740 Å, 60.00 60.00 60.00°
Sites, in units of the cell vectors:
1 Nd 0.000 0.000 0.000
2 Tm 0.250 0.250 0.250
3 Tm 0.750 0.750 0.750
4 La 0.500 0.500 0.500

The structure with the greatest stability is arrangement i.

Arrangement i

This record from the Alexandria database describes an optimized crystal structure of La2Nd8Tm. The functional is PBE-GGA.

The space group is C2/m (12). The density of states at the Fermi level is 1.61 states/eV/atom. For the volume, the calculation gives 390.7 Å³/f.u.

Cell: 9.493 10.274 10.274 Å, 42.82 40.31 40.31°
Sites, in units of the cell vectors:
1 Nd 0.146 0.778 0.349
2 Nd 0.742 0.312 0.312
3 Nd 0.382 0.310 0.310
4 Nd 0.258 0.688 0.688
5 Nd 0.854 0.651 0.222
6 Nd 0.854 0.222 0.651
7 Nd 0.618 0.690 0.690
8 Nd 0.146 0.349 0.778
9 La 0.650 0.857 0.857
10 La 0.350 0.143 0.143
11 Tm 0.000 0.000 0.000

Arrangement ii

This record from the Alexandria database describes an optimized crystal structure of La2Nd8Tm. The functional is PBE-GGA.

The space group is C2/m (12). The density of states at the Fermi level is 1.38 states/eV/atom. For the volume, the calculation gives 391.6 Å³/f.u.

Cell: 6.038 9.212 9.533 Å, 61.11 74.96 57.52°
Sites, in units of the cell vectors:
1 Nd 0.703 0.582 0.000
2 Nd 0.825 0.099 0.228
3 Nd 0.500 0.795 0.410
4 Nd 0.175 0.673 0.228
5 Nd 0.500 0.205 0.590
6 Nd 0.175 0.901 0.772
7 Nd 0.297 0.418 0.000
8 Nd 0.825 0.327 0.772
9 La 0.000 0.307 0.387
10 La 0.000 0.693 0.613
11 Tm 0.500 0.000 0.000

The structure with the greatest stability is arrangement i.

Arrangement i

This record from the Alexandria database describes an optimized crystal structure of La6NdTm5. The functional is PBE-GGA.

The space group is Immm (71). The density of states at the Fermi level is 1.52 states/eV/atom. For the volume, the calculation gives 410.8 Å³/f.u.

Cell: 5.909 9.817 10.133 Å, 61.03 73.06 53.02°
Sites, in units of the cell vectors:
1 La 0.746 0.424 0.661
2 La 0.237 0.262 0.000
3 La 0.746 0.085 0.339
4 La 0.254 0.915 0.661
5 La 0.763 0.738 0.000
6 La 0.254 0.576 0.339
7 Tm 0.500 0.500 0.000
8 Tm 0.000 0.333 0.335
9 Tm 0.500 0.835 0.329
10 Tm 0.500 0.165 0.671
11 Tm 0.000 0.667 0.665
12 Nd 0.000 0.000 0.000

Arrangement ii

This record from the Alexandria database describes an optimized crystal structure of La6NdTm5. The functional is PBE-GGA.

The space group is Immm (71). The density of states at the Fermi level is 1.44 states/eV/atom. For the volume, the calculation gives 406.4 Å³/f.u.

Cell: 5.230 9.634 9.634 Å, 108.88 105.72 105.72°
Sites, in units of the cell vectors:
1 La 0.754 0.254 0.254
2 La 0.748 0.915 0.581
3 La 0.252 0.419 0.085
4 La 0.252 0.085 0.419
5 La 0.246 0.746 0.746
6 La 0.748 0.581 0.915
7 Nd 0.000 0.000 0.000
8 Tm 0.500 0.833 0.167
9 Tm 0.000 0.332 0.668
10 Tm 0.500 0.500 0.500
11 Tm 0.000 0.668 0.332
12 Tm 0.500 0.167 0.833

The structure with the greatest stability is arrangement ii.